Below is MgAlF2 after structural relaxation, with properties calculated at the GGA-PBE level.

CIF file:
```
data_MgAlF2
_symmetry_space_group_name_H-M 'P 1'
_symmetry_Int_Tables_number 1
_symmetry_space_group_name_Hall 'P 1'
_cell_length_a 6.207
_cell_length_b 6.207
_cell_length_c 6.207
_cell_angle_alpha 124.61
_cell_angle_beta 124.61
_cell_angle_gamma 82.19
loop_
_atom_site_label
_atom_site_type_symbol
_atom_site_fract_x
_atom_site_fract_y
_atom_site_fract_z
Mg1 Mg 0.000 0.000 0.000
Mg2 Mg 0.750 0.250 0.500
Al1 Al 0.250 0.750 0.500
Al2 Al 0.500 0.500 0.000
F1 F 0.375 0.181 0.306
F2 F 0.819 0.125 0.194
F3 F 0.875 0.069 0.694
F4 F 0.931 0.625 0.806
```

N(E_F) ... 0.451 states/eV/atom
Magnetization ... 0.98 Bohr magnetons per cell
Uncorrected formation energy ... -1971 meV/atom